DFT (PBE) results for a relaxed structure of CsKAgF4.

The space group is Cmcm (No. 63) and the conventional cell measures 6.3136, 14.1426 and 6.3451 Å, with angles of 90.00, 90.00 and 90.00 degrees. Symmetry generates all atoms from Cs at (0.0000, 0.1006, 0.2500), K at (0.0000, 0.3876, 0.2500), Ag at (0.0000, 0.2559, 0.7500), F at (0.0000, 0.1002, 0.7500), F at (0.0000, 0.4150, 0.7500) and F at (0.2500, 0.2500, 0.0000).

For the volume, the calculation gives 566.6 Å³ per cell. The total magnetization is 2.0 μB per cell. The value obtained for the formation energy (no corrections) is -2.09 eV/atom.

---

DFT (PBE) results for a relaxed structure of CsK2AgF6.

The space group is P2_1/c (No. 14) and the conventional cell measures 6.4092, 6.9665 and 11.1232 Å, with angles of 90.00, 124.09 and 90.00 degrees. Symmetry generates all atoms from Cs at (0.0000, 0.0000, 0.0000), K at (0.2173, 0.0300, 0.7243), Ag at (0.5000, 0.0000, 0.5000), F at (0.1976, 0.1519, 0.4802), F at (0.2354, 0.7299, 0.8829) and F at (0.4256, 0.1221, 0.3032).

For the volume, the calculation gives 411.3 Å³ per cell. The total magnetization is 4.0 μB per cell. The value obtained for the formation energy (no corrections) is -2.12 eV/atom.

---

DFT (PBE) results for a relaxed structure of CsKAgF6.

The space group is P1 (No. 1) and the conventional cell measures 5.7395, 6.4064 and 6.4182 Å, with angles of 61.44, 89.95 and 89.99 degrees. Symmetry generates all atoms from Cs at (0.0000, 0.0000, 0.0000), K at (0.5005, 0.3267, 0.3257), Ag at (0.4986, 0.6650, 0.6649), F at (0.2870, 0.3977, 0.9405), F at (0.3053, 0.6599, 0.4134), F at (0.3067, 0.9214, 0.6626), F at (0.6911, 0.6650, 0.9193), F at (0.6915, 0.4115, 0.6620) and F at (0.7103, 0.9390, 0.3959).

For the volume, the calculation gives 207.3 Å³ per cell. The total magnetization is 1.0 μB per cell. The value obtained for the formation energy (no corrections) is -1.80 eV/atom.